K2TlNiF6 | the Alexandria database | PBE with a Hubbard U | optimized geometry; SG = Fm-3m, No. 225; uncorrected energy = -4.12 eV per atom; V = 168 Å³/cell
1.0
0.000 4.381 4.381
4.381 0.000 4.381
4.381 4.381 0.000
F K Tl Ni
6 2 1 1
direct
0.770 0.230 0.770
0.230 0.770 0.230
0.230 0.230 0.770
0.770 0.770 0.230
0.230 0.770 0.770
0.770 0.230 0.230
0.250 0.250 0.250
0.750 0.750 0.750
0.500 0.500 0.500
0.000 0.000 0.000